VASP calculation (GGA-PBEsol) on a geometry-optimized RuRhSe structure.

```
RuRhSe
1.0
4.123 0.000 0.000
2.061 3.570 0.000
2.061 1.190 3.366
Se Rh Ru
1 1 1
Direct
0.000 0.000 0.000
0.500 0.500 0.500
0.250 0.250 0.250
```

Distance to the lowest polymorph of the same formula = 105 meV per atom
Space-group type = F-43m, No. 216
Uncorrected formation energy = 228 meV/atom
Total DFT energy (no corrections) = -7.159 eV per atom
Magnetization = 0.000 μB/f.u.

***

VASP calculation (GGA-PBEsol) on a geometry-optimized MgNiAg2 structure.

```
MgNiAg2
1.0
-2.523 -1.281 0.487
-0.056 -1.229 -3.520
2.706 -4.717 1.604
Ag Mg Ni
2 1 1
Direct
0.000 0.000 0.263
0.000 0.000 0.737
0.500 0.500 0.000
0.500 0.500 0.500
```

Space-group type = Pmmm, No. 47
Total DFT energy (no corrections) = -3.612 eV per atom
Magnetization = 0.000 μB/f.u.
Energy relative to the elements = 0.012 eV/atom

***

VASP calculation (GGA-PBEsol) on a geometry-optimized HgHPb2Br structure.

```
HgHPb2Br
1.0
-1.486 4.002 1.916
-3.097 -2.383 2.575
3.571 -0.505 3.826
H Br Pb Hg
1 1 2 1
Direct
0.000 0.000 0.000
0.000 0.000 0.500
0.000 0.500 0.000
0.500 0.000 0.000
0.500 0.500 0.500
```

Space-group type = P4/mmm, No. 123
Total DFT energy (no corrections) = -2.621 eV per atom
Magnetization = 0.000 μB/f.u.

***

VASP calculation (GGA-PBEsol) on a geometry-optimized LiC2ClF structure.

```
LiC2ClF
1.0
-2.876 -0.027 1.880
1.813 -0.950 2.760
0.814 5.398 1.323
C Cl F Li
2 1 1 1
Direct
0.500 0.000 0.000
0.000 0.500 0.000
0.000 0.000 0.000
0.000 0.000 0.500
0.500 0.500 0.500
```

Space-group type = P4/mmm, No. 123
Uncorrected formation energy = 1514 meV/atom
Total DFT energy (no corrections) = -3.524 eV per atom
Magnetization = 0.002 μB/f.u.

***

VASP calculation (GGA-PBEsol) on a geometry-optimized ZrCuO2F structure.

```
ZrCuO2F
1.0
-0.663 3.319 1.549
-2.721 0.656 -2.570
-2.564 -1.590 2.309
O Cu Zr F
2 1 1 1
Direct
0.000 0.000 0.500
0.000 0.500 0.000
0.000 0.000 0.000
0.500 0.500 0.500
0.500 0.000 0.000
```

Space-group type = P4/mmm, No. 123
Uncorrected formation energy = -1286 meV/atom
Total DFT energy (no corrections) = -6.456 eV per atom
Magnetization = 0.003 μB/f.u.

***

VASP calculation (GGA-PBEsol) on a geometry-optimized ScNb3Au structure.

```
ScNb3Au
1.0
-1.966 -1.189 4.367
2.204 -4.410 -0.209
3.953 1.867 2.288
Au Nb Sc
1 3 1
Direct
0.000 0.000 0.000
0.000 0.000 0.500
0.000 0.500 0.000
0.500 0.000 0.000
0.500 0.500 0.500
```

Space-group type = Pm-3m, No. 221
Total DFT energy (no corrections) = -7.256 eV per atom
Magnetization = 0.001 μB/f.u.
Energy relative to the elements = 1.342 eV/atom

***

VASP calculation (GGA-PBEsol) on a geometry-optimized RuRhSCl2 structure.

```
RuRhSCl2
1.0
-3.971 1.840 1.135
-2.119 -2.569 -3.249
-0.678 -3.385 3.119
Rh Cl S Ru
1 2 1 1
Direct
0.000 0.000 0.000
0.000 0.000 0.500
0.000 0.500 0.000
0.500 0.000 0.000
0.500 0.500 0.500
```

Space-group type = P4/mmm, No. 123
Uncorrected formation energy = 794 meV/atom
Total DFT energy (no corrections) = -4.548 eV per atom
Magnetization = 3.657 μB/f.u.

***

VASP calculation (GGA-PBEsol) on a geometry-optimized CrOsRh2 structure.

```
CrOsRh2
1.0
-1.372 -2.174 0.659
-0.012 -0.763 -2.542
6.349 -3.681 1.074
Rh Os Cr
2 1 1
Direct
0.500 0.500 0.264
0.000 0.000 0.997
0.500 0.500 0.741
0.000 0.000 0.498
```

Distance to the lowest polymorph of the same formula = 82 meV per atom
Space-group type = P4mm, No. 99
Total DFT energy (no corrections) = -9.680 eV per atom
Magnetization = 0.003 μB/f.u.
Energy relative to the elements = 0.003 eV/atom